Computed, not measured: an optimized crystal structure of Li2ZnPd at the PBE-GGA level of DFT.

Total energy: -2.78 eV per atom
Symmetry: No. 122
Density of states at the Fermi level: 1.813 states/eV/cell
Energy of formation from the pure elements: -0.2060 eV/atom

Lattice parameters (Å, degrees): 5.520 5.520 5.520 102.30 102.30 125.03
Atoms (fractional coordinates):
Li 0.120 0.625 0.995
Li 0.375 0.370 0.495
Li 0.630 0.125 0.005
Li 0.875 0.880 0.505
Zn 0.250 0.750 0.500
Zn 0.500 0.500 0.000
Pd 0.000 0.000 0.000
Pd 0.750 0.250 0.500

Computed, not measured: an optimized crystal structure of MgCo2Cu at the PBE-GGA level of DFT.

Total energy: -4.77 eV per atom
Symmetry: No. 65
Density of states at the Fermi level: 4.487 states/eV/cell
Energy of formation from the pure elements: 0.2062 eV/atom

Lattice parameters (Å, degrees): 4.626 4.626 2.592 90.00 90.00 113.83
Atoms (fractional coordinates):
Mg 0.000 0.000 0.000
Co 0.000 0.500 0.500
Co 0.500 0.000 0.500
Cu 0.500 0.500 0.000

Computed, not measured: an optimized crystal structure of Pr4SnSb2Se at the PBE-GGA level of DFT.

Total energy: -5.60 eV per atom
Formation energy from raw total energies: -1241 meV/atom
Symmetry: No. 10
Density of states at the Fermi level: 1.385 states/eV/cell

Lattice parameters (Å, degrees): 7.791 4.482 7.798 90.00 109.36 90.00
Atoms (fractional coordinates):
Pr 0.245 0.000 0.247
Pr 0.247 0.500 0.753
Pr 0.753 0.500 0.247
Pr 0.755 0.000 0.753
Sn 0.000 0.000 0.500
Sb 0.500 0.000 0.000
Sb 0.500 0.500 0.500
Se 0.000 0.500 0.000

Computed, not measured: an optimized crystal structure of YZn2Au at the PBE-GGA level of DFT.

Total energy: -3.48 eV per atom
Symmetry: No. 10
Density of states at the Fermi level: 2.143 states/eV/cell
Energy of formation from the pure elements: -0.4073 eV/atom

Lattice parameters (Å, degrees): 3.432 4.677 5.171 90.00 90.08 90.00
Atoms (fractional coordinates):
Y 0.000 0.000 0.000
Zn 0.500 0.500 0.249
Zn 0.500 0.500 0.751
Au 0.500 0.000 0.500

Computed, not measured: an optimized crystal structure of LiGaTc at the PBE-GGA level of DFT.

Total energy: -5.31 eV per atom
Symmetry: No. 129
Density of states at the Fermi level: 4.064 states/eV/cell
Energy of formation from the pure elements: -0.2121 eV/atom

Lattice parameters (Å, degrees): 2.983 2.983 10.055 90.00 90.00 90.00
Atoms (fractional coordinates):
Li 0.250 0.250 0.092
Li 0.750 0.750 0.908
Ga 0.250 0.250 0.747
Ga 0.750 0.750 0.253
Tc 0.250 0.250 0.424
Tc 0.750 0.750 0.576

Computed, not measured: an optimized crystal structure of SbPIrI2 at the PBE-GGA level of DFT.

Total energy: -2.91 eV per atom
Formation energy from raw total energies: 1385 meV/atom
Symmetry: No. 123
Density of states at the Fermi level: 6.463 states/eV/cell

Lattice parameters (Å, degrees): 5.205 5.205 5.369 90.00 90.00 90.00
Atoms (fractional coordinates):
Sb 0.000 0.000 0.000
P 0.000 0.000 0.500
Ir 0.500 0.500 0.000
I 0.000 0.500 0.500
I 0.500 0.000 0.500

Computed, not measured: an optimized crystal structure of TaAlO2F at the PBE-GGA level of DFT.

Total energy: -7.28 eV per atom
Formation energy from raw total energies: -1807 meV/atom
Symmetry: No. 123
Density of states at the Fermi level: 1.535 states/eV/cell

Lattice parameters (Å, degrees): 4.016 4.016 4.300 90.00 90.00 90.00
Atoms (fractional coordinates):
Ta 0.000 0.000 0.000
Al 0.500 0.500 0.500
O 0.000 0.500 0.000
O 0.500 0.000 0.000
F 0.000 0.000 0.500

Computed, not measured: an optimized crystal structure of TlGeCl3 at the PBE-GGA level of DFT.

Total energy: -3.07 eV per atom
Formation energy from raw total energies: -563 meV/atom
Symmetry: No. 194
Density of states at the Fermi level: 3.061 states/eV/cell

Lattice parameters (Å, degrees): 4.794 4.794 17.482 90.00 90.00 120.00
Atoms (fractional coordinates):
Tl 0.333 0.667 0.250
Tl 0.667 0.333 0.750
Ge 0.000 0.000 0.000
Ge 0.000 0.000 0.500
Cl 0.000 0.000 0.250
Cl 0.000 0.000 0.750
Cl 0.333 0.667 0.055
Cl 0.333 0.667 0.445
Cl 0.667 0.333 0.555
Cl 0.667 0.333 0.945